No. 1
# Pm3IrPb2

A geometry-optimized Pm3IrPb2 structure (GGA-PBE, Alexandria via LeMat-Bulk).

- formation enthalpy at 0 K (kJ/mol of atoms) = -57
- energy above the lowest structure with this stoichiometry (kJ/mol of formula units) = 0.0
- symmetry = No. 62

```
Pm3IrPb2
1.0
4.4906 0.0000 0.0000
0.0000 12.0553 0.0000
0.0000 0.0000 12.8757
Pm Ir Pb
12 4 8
Direct
0.2500 0.3681 0.0546 Pm
0.7500 0.6319 0.9454 Pm
0.7500 0.8681 0.4454 Pm
0.2500 0.1319 0.5546 Pm
0.2500 0.7086 0.2461 Pm
0.7500 0.2914 0.7539 Pm
0.7500 0.2086 0.2539 Pm
0.2500 0.7914 0.7461 Pm
0.2500 0.4590 0.3821 Pm
0.7500 0.5410 0.6179 Pm
0.7500 0.9590 0.1179 Pm
0.2500 0.0410 0.8821 Pm
0.2500 0.1310 0.1258 Ir
0.7500 0.8690 0.8742 Ir
0.7500 0.6310 0.3742 Ir
0.2500 0.3690 0.6258 Ir
0.2500 0.6951 0.5080 Pb
0.7500 0.3049 0.4920 Pb
0.7500 0.1951 0.9920 Pb
0.2500 0.8049 0.0080 Pb
0.2500 0.0004 0.3136 Pb
0.7500 0.9996 0.6864 Pb
0.7500 0.5004 0.1864 Pb
0.2500 0.4996 0.8136 Pb
```

***

No. 2
# Sm3NpIr8

A geometry-optimized Sm3NpIr8 structure (GGA-PBE, Alexandria via LeMat-Bulk).

- formation enthalpy at 0 K (kJ/mol of atoms) = -63
- symmetry = No. 160

```
Sm3NpIr8
1.0
5.3958 0.0000 0.0000
2.6979 4.6729 0.0000
2.6979 1.5576 8.7985
Sm Np Ir
3 1 8
Direct
0.3745 0.3745 0.8764 Sm
0.0002 0.0002 0.9995 Sm
0.4998 0.4998 0.5007 Sm
0.8756 0.8756 0.3732 Np
0.9340 0.4375 0.1909 Ir
0.4410 0.9373 0.6843 Ir
0.4375 0.4375 0.1909 Ir
0.9373 0.9373 0.6843 Ir
0.1876 0.1876 0.4373 Ir
0.6876 0.6876 0.9373 Ir
0.4375 0.9340 0.1909 Ir
0.9373 0.4410 0.6843 Ir
```

***

No. 3
# CeHoLuCd

A geometry-optimized CeHoLuCd structure (GGA-PBE, Alexandria via LeMat-Bulk).

- formation enthalpy at 0 K (kJ/mol of atoms) = 0
- symmetry = No. 216

```
CeHoLuCd
1.0
-3.0325 -4.2482 1.4336
2.3316 -4.3893 2.1439
-0.7240 -1.1645 5.2363
Lu Ho Ce Cd
1 1 1 1
Direct
0.2500 0.2500 0.2500 Lu
0.5000 0.5000 0.5000 Ho
0.0000 0.0000 0.0000 Ce
0.7500 0.7500 0.7500 Cd
```

***

No. 4
# Pm2Sm5YHo

A geometry-optimized Pm2Sm5YHo structure (GGA-PBE, Alexandria via LeMat-Bulk).

- formation enthalpy at 0 K (kJ/mol of atoms) = 27
- symmetry = No. 140

```
Pm2Sm5YHo
1.0
8.6683 0.0000 0.0000
0.0000 8.6683 0.0000
-4.3342 -4.3342 8.1007
Pm Sm Y Ho
4 10 2 2
Direct
0.1194 0.3806 0.0000 Pm
0.6194 0.1194 0.0000 Pm
0.3806 0.8806 0.0000 Pm
0.8806 0.6194 0.0000 Pm
0.9281 0.4281 0.2818 Sm
0.6463 0.1463 0.7182 Sm
0.0719 0.5719 0.7182 Sm
0.1463 0.0719 0.7182 Sm
0.5719 0.6463 0.7182 Sm
0.8537 0.9281 0.2818 Sm
0.4281 0.3537 0.2818 Sm
0.3537 0.8537 0.2818 Sm
0.5000 0.5000 0.0000 Sm
0.0000 0.0000 0.0000 Sm
0.2500 0.2500 0.5000 Y
0.7500 0.7500 0.5000 Y
0.2500 0.7500 0.5000 Ho
0.7500 0.2500 0.5000 Ho
```

***

No. 5
# CsNbHg2

A geometry-optimized CsNbHg2 structure (GGA-PBE, Alexandria via LeMat-Bulk).

- formation enthalpy at 0 K (kJ/mol of atoms) = 70
- energy above the lowest structure with this stoichiometry (kJ/mol of formula units) = 0.0
- symmetry = No. 122

```
CsNbHg2
1.0
-3.7120 4.7797 -0.4436
-3.4753 -2.2890 4.4163
1.6928 5.9639 8.5919
Cs Nb Hg
2 2 4
Direct
0.0000 0.0000 0.0000 Cs
0.7500 0.2500 0.5000 Cs
0.5000 0.5000 0.0000 Nb
0.2500 0.7500 0.5000 Nb
0.3942 0.1250 0.2500 Hg
0.3558 0.6250 0.2500 Hg
0.3750 0.6058 0.7500 Hg
0.8750 0.6442 0.7500 Hg
```

***

No. 6
# Rb2Tm2SnSe6

A geometry-optimized Rb2Tm2SnSe6 structure (GGA-PBE, Alexandria via LeMat-Bulk).

- E_form (uncorrected) (meV/atom) = -1338
- symmetry = No. 12

```
Rb2Tm2SnSe6
1.0
7.0699 -0.0228 0.0553
-3.5141 6.1347 0.0553
-1.2744 -2.1906 8.2191
Rb Tm Sn Se
2 2 1 6
Direct
0.8311 0.1689 0.0000 Rb
0.1689 0.8311 0.0000 Rb
0.3317 0.6683 0.5000 Tm
0.6683 0.3317 0.5000 Tm
0.0000 0.0000 0.5000 Sn
0.7424 0.7424 0.6868 Se
0.0665 0.3899 0.6899 Se
0.2576 0.2576 0.3132 Se
0.3899 0.0665 0.6899 Se
0.9335 0.6101 0.3101 Se
0.6101 0.9335 0.3101 Se
```

***

No. 7
# TmGa12Rh6

A geometry-optimized TmGa12Rh6 structure (GGA-PBE, Alexandria via LeMat-Bulk).

- formation enthalpy at 0 K (kJ/mol of atoms) = -48
- symmetry = No. 166

```
TmGa12Rh6
1.0
-2.8105 -0.2347 -6.5709
6.9766 -1.2723 -0.9157
-2.5300 -5.8100 3.3125
Tm Ga Rh
1 12 6
Direct
0.0000 0.0000 0.0000 Tm
0.8867 0.1133 0.5000 Ga
0.8636 0.6007 0.6007 Ga
0.6007 0.6007 0.8636 Ga
0.3993 0.1364 0.3993 Ga
0.3993 0.3993 0.1364 Ga
0.1364 0.3993 0.3993 Ga
0.1133 0.5000 0.8867 Ga
0.5000 0.8867 0.1133 Ga
0.1133 0.8867 0.5000 Ga
0.8867 0.5000 0.1133 Ga
0.5000 0.1133 0.8867 Ga
0.6007 0.8636 0.6007 Ga
0.7041 0.2775 0.2775 Rh
0.2775 0.2775 0.7041 Rh
0.2775 0.7041 0.2775 Rh
0.7225 0.7225 0.2959 Rh
0.2959 0.7225 0.7225 Rh
0.7225 0.2959 0.7225 Rh
```

***

No. 8
# Ac6TmTe8

A geometry-optimized Ac6TmTe8 structure (GGA-PBE, Alexandria via LeMat-Bulk).

- E_form (uncorrected) (meV/atom) = -1487
- symmetry = No. 225

```
Ac6TmTe8
1.0
8.1422 0.0000 4.7009
2.7141 7.6765 4.7009
0.0000 0.0000 9.4018
Ac Tm Te
6 1 8
Direct
0.0000 0.5000 0.5000 Ac
0.5000 0.0000 0.0000 Ac
0.5000 0.5000 0.0000 Ac
0.0000 0.0000 0.5000 Ac
0.0000 0.5000 0.0000 Ac
0.5000 0.0000 0.5000 Ac
0.0000 0.0000 0.0000 Tm
0.7500 0.7500 0.7500 Te
0.2500 0.2500 0.2500 Te
0.7640 0.2360 0.2360 Te
0.2360 0.7640 0.7640 Te
0.2360 0.2360 0.7640 Te
0.7640 0.7640 0.2360 Te
0.7640 0.2360 0.7640 Te
0.2360 0.7640 0.2360 Te
```

***

No. 9
# Cd5CuAg4

A geometry-optimized Cd5CuAg4 structure (GGA-PBE, Alexandria via LeMat-Bulk).

- formation enthalpy at 0 K (kJ/mol of atoms) = -2
- symmetry = No. 123

```
Cd5CuAg4
1.0
-1.7054 2.8019 0.8828
-0.2575 -1.1594 3.1824
14.1450 7.3995 3.8405
Cd Cu Ag
5 1 4
Direct
0.5000 0.5000 0.0902 Cd
0.5000 0.5000 0.2960 Cd
0.5000 0.5000 0.5000 Cd
0.5000 0.5000 0.7040 Cd
0.5000 0.5000 0.9098 Cd
0.0000 0.0000 0.0000 Cu
0.0000 0.0000 0.1928 Ag
0.0000 0.0000 0.3977 Ag
0.0000 0.0000 0.6023 Ag
0.0000 0.0000 0.8072 Ag
```

***

No. 10
# ZrPt2IBr

A geometry-optimized ZrPt2IBr structure (GGA-PBE, Alexandria via LeMat-Bulk).

- E_form (uncorrected) (meV/atom) = 836
- symmetry = No. 123

```
ZrPt2IBr
1.0
-2.5845 3.8468 1.8010
-3.6521 -0.5207 -4.1287
-2.6992 -3.1152 2.7805
I Br Zr Pt
1 1 1 2
Direct
0.0000 0.0000 0.0000 I
0.5000 0.5000 0.5000 Br
0.0000 0.5000 0.0000 Zr
0.0000 0.0000 0.5000 Pt
0.5000 0.0000 0.0000 Pt
```

***

No. 11
# Cu3Pd4

A geometry-optimized Cu3Pd4 structure (GGA-PBE, Alexandria via LeMat-Bulk).

- formation enthalpy at 0 K (kJ/mol of atoms) = -1
- symmetry = No. 166

```
Cu3Pd4
1.0
-4.1969 1.0959 0.2663
-2.3157 -1.1043 3.5076
-0.6300 5.2491 3.9287
Cu Pd
3 4
Direct
0.2836 0.2836 0.1493 Cu
0.7164 0.7164 0.8507 Cu
0.0000 0.0000 0.0000 Cu
0.5787 0.5787 0.2639 Pd
0.8589 0.8589 0.4234 Pd
0.1411 0.1411 0.5766 Pd
0.4213 0.4213 0.7361 Pd
```

***

No. 12
# Pm2BeGe4Pt3

A geometry-optimized Pm2BeGe4Pt3 structure (GGA-PBE, Alexandria via LeMat-Bulk).

- formation enthalpy at 0 K (kJ/mol of atoms) = -77
- symmetry = No. 115

```
Pm2BeGe4Pt3
1.0
4.2100 0.0000 0.0000
0.0000 4.2100 0.0000
0.0000 0.0000 10.5654
Pm Be Ge Pt
2 1 4 3
Direct
0.5000 0.0000 0.2592 Pm
0.0000 0.5000 0.7408 Pm
0.5000 0.5000 0.5000 Be
0.5000 0.5000 0.0000 Ge
0.0000 0.0000 0.0000 Ge
0.5000 0.0000 0.6305 Ge
0.0000 0.5000 0.3695 Ge
0.0000 0.0000 0.5000 Pt
0.5000 0.0000 0.8662 Pt
0.0000 0.5000 0.1338 Pt
```

***

No. 13
# CsCaZr2Au

A geometry-optimized CsCaZr2Au structure (GGA-PBE, Alexandria via LeMat-Bulk).

- formation enthalpy at 0 K (kJ/mol of atoms) = 53
- symmetry = No. 123

```
CsCaZr2Au
1.0
-2.3980 2.5007 -4.1725
-1.0712 -5.2085 -2.5059
-4.7630 -0.2619 2.5804
Cs Ca Au Zr
1 1 1 2
Direct
0.5000 0.5000 0.5000 Cs
0.0000 0.5000 0.0000 Ca
0.0000 0.0000 0.0000 Au
0.0000 0.0000 0.5000 Zr
0.5000 0.0000 0.0000 Zr
```

***

No. 14
# LiVRh

A geometry-optimized LiVRh structure (GGA-PBE, Alexandria via LeMat-Bulk).

- formation enthalpy at 0 K (kJ/mol of atoms) = -19
- energy above the lowest structure with this stoichiometry (kJ/mol of formula units) = 28.2
- symmetry = No. 11

```
LiVRh
1.0
-2.1581 1.7360 0.3298
-2.5703 -3.1599 -0.1867
1.5776 -1.7007 7.0655
Li V Rh
2 2 2
Direct
0.2730 0.2500 0.5403 Li
0.7270 0.7500 0.4597 Li
0.9458 0.2500 0.8922 V
0.0542 0.7500 0.1078 V
0.6083 0.2500 0.2088 Rh
0.3917 0.7500 0.7912 Rh
```

***

No. 15
# AsH3S

A geometry-optimized AsH3S structure (GGA-PBE, Alexandria via LeMat-Bulk).

- energy above the lowest structure with this stoichiometry (kJ/mol of formula units) = 348.2
- symmetry = No. 221

```
AsH3S
1.0
3.5733 0.0000 0.0000
0.0000 3.5733 0.0000
0.0000 0.0000 3.5733
H As S
3 1 1
Direct
0.0000 0.5000 0.0000 H
0.0000 0.0000 0.5000 H
0.5000 0.0000 0.0000 H
0.5000 0.5000 0.5000 As
0.0000 0.0000 0.0000 S
```

***

No. 16
# LiTl2Co

A geometry-optimized LiTl2Co structure (GGA-PBE, Alexandria via LeMat-Bulk).

- formation enthalpy at 0 K (kJ/mol of atoms) = 29
- symmetry = No. 12

```
LiTl2Co
1.0
-2.3546 0.3934 3.7635
-4.2816 0.4072 1.1682
-1.3404 -5.8484 0.9641
Co Li Tl
1 1 2
Direct
0.7500 0.7500 0.7500 Co
0.2500 0.2500 0.2500 Li
0.0083 0.0083 0.9822 Tl
0.4917 0.4917 0.5178 Tl
```

***

No. 17
# Ca3Ce2TmN6

A geometry-optimized Ca3Ce2TmN6 structure (GGA-PBE, Alexandria via LeMat-Bulk).

- E_form (uncorrected) (meV/atom) = -1249
- symmetry = No. 12

```
Ca3Ce2TmN6
1.0
6.1070 -0.0046 0.0030
-3.0560 5.2874 0.0030
-1.0151 -1.7576 5.7320
Ca Ce Tm N
3 2 1 6
Direct
0.1645 0.8355 0.5000 Ca
0.8355 0.1645 0.5000 Ca
0.5000 0.5000 0.5000 Ca
0.3333 0.6667 0.0000 Ce
0.6667 0.3333 0.0000 Ce
0.0000 0.0000 0.0000 Tm
0.9251 0.5911 0.7770 N
0.7400 0.7400 0.2230 N
0.0749 0.4089 0.2230 N
0.5911 0.9251 0.7770 N
0.2600 0.2600 0.7770 N
0.4089 0.0749 0.2230 N
```

***

No. 18
# CsSe2

A geometry-optimized CsSe2 structure (GGA-PBE, Alexandria via LeMat-Bulk).

- E_form (uncorrected) (meV/atom) = -394
- energy above the lowest structure with this stoichiometry (kJ/mol of formula units) = 95.2
- symmetry = No. 227

```
CsSe2
1.0
-1.9490 1.5771 -5.7715
-2.2921 -4.4085 -3.8610
-6.1383 -0.0892 -1.3818
Cs Se
2 4
Direct
0.0000 0.0000 0.0000 Cs
0.2500 0.2500 0.2500 Cs
0.1250 0.6250 0.6250 Se
0.6250 0.1250 0.6250 Se
0.6250 0.6250 0.6250 Se
0.6250 0.6250 0.1250 Se
```

***

No. 19
# AlMoIr2

A geometry-optimized AlMoIr2 structure (GGA-PBE, Alexandria via LeMat-Bulk).

- formation enthalpy at 0 K (kJ/mol of atoms) = -26
- energy above the lowest structure with this stoichiometry (kJ/mol of formula units) = 133.4
- symmetry = No. 123

```
AlMoIr2
1.0
3.7032 0.0000 0.0000
0.0000 4.0007 0.0000
0.0000 0.0000 4.0007
Mo Ir Al
1 2 1
Direct
0.5000 0.5000 0.0000 Mo
0.0000 0.0000 0.0000 Ir
0.0000 0.5000 0.5000 Ir
0.5000 0.0000 0.5000 Al
```

***

No. 20
# TaAlV

A geometry-optimized TaAlV structure (GGA-PBE, Alexandria via LeMat-Bulk).

- formation enthalpy at 0 K (kJ/mol of atoms) = -8
- energy above the lowest structure with this stoichiometry (kJ/mol of formula units) = 37.9
- symmetry = No. 156

```
TaAlV
1.0
2.7008 0.0000 0.0000
0.0000 4.5097 0.0000
0.0000 -2.2549 3.9055
V Al Ta
1 1 1
Direct
0.0008 0.0000 0.0000 V
0.6957 0.3333 0.6667 Al
0.3035 0.6667 0.3333 Ta
```